A relaxed CsPtWO6 crystal. Source: Alexandria, functional GGA+U.

It has space group Imma (No. 74), with a = 7.219 Å, b = 7.438 Å, c = 10.459 Å, α = 90.00°, β = 90.00° and γ = 90.00°. The asymmetric unit holds Cs at (0.000, 0.250, 0.126), Pt at (0.250, 0.250, 0.750), W at (0.000, 0.000, 0.500), O at (0.000, 0.250, 0.439), O at (0.000, 0.250, 0.823) and O at (0.192, 0.058, 0.621).

The total energy is -225.444 eV for the cell shown.